Entry from OQMD: BaCuBi after structural relaxation (PBE-GGA).

Properties
The value obtained for the energy is -3.56 eV per atom. The space group is P-62m (189).

abc: 7.8748 7.8748 5.0558
angles: 90.00 90.00 120.00
Sites, in units of the cell vectors:
Ba 0.5634 0.0000 0.0000
Ba 0.4366 0.4366 0.0000
Ba 0.0000 0.5634 0.0000
Bi 0.0000 0.0000 0.0000
Bi 0.6667 0.3333 0.5000
Bi 0.3333 0.6667 0.5000
Cu 0.2196 0.0000 0.5000
Cu 0.0000 0.2196 0.5000
Cu 0.7804 0.7804 0.5000

Entry from OQMD: HoSnGeTe3 after structural relaxation (PBE-GGA).

Properties
The value obtained for the energy is -4.23 eV per atom. The space group is Cmcm (63).

abc: 7.7435 7.7435 11.0323
angles: 90.00 90.00 147.42
Sites, in units of the cell vectors:
Ge 0.0312 0.9688 0.2500
Ge 0.9688 0.0312 0.7500
Ho 0.5000 0.5000 0.0000
Ho 0.5000 0.5000 0.5000
Sn 0.7291 0.2709 0.2500
Sn 0.2709 0.7291 0.7500
Te 0.1476 0.8524 0.0391
Te 0.3943 0.6057 0.2500
Te 0.1476 0.8524 0.4609
Te 0.8524 0.1476 0.5391
Te 0.6057 0.3943 0.7500
Te 0.8524 0.1476 0.9609

Entry from OQMD: LiTcGe2 after structural relaxation (PBE-GGA).

Properties
The value obtained for the energy is -5.04 eV per atom. The space group is F-43m (216).

abc: 4.4244 4.4244 4.4244
angles: 60.00 60.00 60.00
Each line ends with the local moment (μB).
Sites, in units of the cell vectors:
Ge 0.5000 0.5000 0.5000  0.05
Ge 0.7500 0.7500 0.7500  -0.01
Li 0.2500 0.2500 0.2500  0.02
Tc 0.0000 0.0000 0.0000  1.08

Entry from OQMD: HoTlHgTe3 after structural relaxation (PBE-GGA).

Properties
The value obtained for the energy is -3.49 eV per atom. The space group is Cmcm (63).

abc: 8.0456 8.0456 11.5859
angles: 90.00 90.00 148.18
Sites, in units of the cell vectors:
Hg 0.5393 0.4607 0.2500
Hg 0.4607 0.5393 0.7500
Ho 0.0000 0.0000 0.0000
Ho 0.0000 0.0000 0.5000
Te 0.6378 0.3622 0.0452
Te 0.9181 0.0819 0.2500
Te 0.6378 0.3622 0.4548
Te 0.3622 0.6378 0.5452
Te 0.0819 0.9181 0.7500
Te 0.3622 0.6378 0.9548
Tl 0.2393 0.7607 0.2500
Tl 0.7607 0.2393 0.7500

Entry from OQMD: GdErCu2Sn2 after structural relaxation (PBE-GGA).

Properties
The value obtained for the energy is -4.71 eV per atom. The space group is P3m1 (156).

abc: 4.5400 4.5400 7.2432
angles: 90.00 90.00 120.00
Sites, in units of the cell vectors:
Cu 0.3333 0.6667 0.0575
Cu 0.6667 0.3333 0.5469
Er 0.0000 0.0000 0.2336
Gd 0.0000 0.0000 0.7341
Sn 0.3333 0.6667 0.4607
Sn 0.6667 0.3333 0.9672

Entry from OQMD: Dy4ErLu2Ni2Te2 after structural relaxation (PBE-GGA).

Properties
The value obtained for the energy is -5.16 eV per atom. The space group is Imm2 (44).

abc: 9.2914 9.2914 9.2914
angles: 156.30 67.15 118.20
Sites, in units of the cell vectors:
Dy 0.7140 0.5807 0.1333
Dy 0.6928 0.3783 0.3146
Dy 0.0637 0.3783 0.6854
Dy 0.4473 0.5807 0.8667
Er 0.0009 0.0009 0.0000
Lu 0.0816 0.7273 0.3543
Lu 0.3731 0.7273 0.6457
Ni 0.3065 0.0720 0.2345
Ni 0.8376 0.0720 0.7655
Te 0.3354 0.3354 0.0000
Te 0.7353 0.2353 0.5000